#1
Material: LaPmTmHg
Method: DFT, GGA-PBE
State: optimized geometry

Properties
N(E_F) = 6.56 states/eV/f.u.
space-group type = F-43m

Cell: 5.523 5.523 5.523 Å, 60.00 60.00 60.00°
Fractional positions:
La 0.000 0.000 0.000
Pm 0.750 0.750 0.750
Tm 0.500 0.500 0.500
Hg 0.250 0.250 0.250

#2
Material: LaPmTmHg
Method: DFT, GGA-PBE
State: optimized geometry

Properties
N(E_F) = 5.78 states/eV/f.u.
space-group type = P4mm

Cell: 3.683 3.683 8.981 Å, 90.00 90.00 90.00°
Fractional positions:
La 0.000 0.000 0.000
Pm 0.500 0.500 0.708
Tm 0.500 0.500 0.280
Hg 0.000 0.000 0.475

Calculated relative energies: #1 18.2; #2 0.0, given in kJ/mol of atoms